1.
Entry from Alexandria via LeMat-Bulk: an optimized crystal structure of KVI3 (GGA-PBE).

Unit cell a=5.7199 b=5.7199 c=5.7199 alpha=90.00 beta=90.00 gamma=90.00
Positions (direct):
I: 0.0000 0.5000 0.0000
I: 0.0000 0.0000 0.5000
I: 0.5000 0.0000 0.0000
K: 0.5000 0.5000 0.5000
V: 0.0000 0.0000 0.0000

**Formation energy from raw total energies**: -704 meV per atom
**V**: 37.43 Å³/atom
**SG**: Pm-3m
**D(E_F)**: 2.7 states/eV/cell



2.
Entry from Alexandria via LeMat-Bulk: an optimized crystal structure of KV2I8 (GGA-PBE).

Unit cell a=9.5328 b=7.5541 c=9.5328 alpha=79.50 beta=72.20 gamma=79.50
Positions (direct):
K: 0.0000 0.0000 0.0000
V: 0.2029 0.3227 0.2029
V: 0.7971 0.6773 0.7971
I: 0.6933 0.7493 0.0649
I: 0.9351 0.2507 0.3067
I: 0.2084 0.6582 0.2084
I: 0.7916 0.3418 0.7916
I: 0.0649 0.7493 0.6933
I: 0.3067 0.2507 0.9351
I: 0.3604 0.1301 0.3604
I: 0.6396 0.8699 0.6396

**Formation energy from raw total energies**: -578 meV per atom
**V**: 57.89 Å³/atom
**SG**: C2/m
**D(E_F)**: 12.3 states/eV/cell



3.
Entry from Alexandria via LeMat-Bulk: an optimized crystal structure of KV2I (GGA-PBE).

Unit cell a=4.6772 b=4.6772 c=10.7094 alpha=77.39 beta=77.39 gamma=90.00
Positions (direct):
I: 0.0000 0.0000 0.0000
I: 0.7500 0.2500 0.5000
K: 0.5000 0.5000 0.0000
K: 0.2500 0.7500 0.5000
V: 0.8406 0.1250 0.2500
V: 0.9094 0.6250 0.2500
V: 0.3750 0.1594 0.7500
V: 0.8750 0.0906 0.7500

**Formation energy from raw total energies**: 963 meV per atom
**Offset from the most stable computed form**: 0.0000 eV/atom
**V**: 27.85 Å³/atom
**SG**: I-42d
**D(E_F)**: 8.3 states/eV/cell